Record 1
Entry from the Alexandria database: a relaxed structure of AcLaNi4 (GGA-PBE).

E_tot = -5.652 eV/atom
Distance to the lowest polymorph of the same formula = 0.000 eV/atom
Space group = Pmmm

Cell: 4.0990 4.1277 7.1293 Å, 90.00 90.00 90.00°
Atoms (fractional coordinates):
Ac1 0.9985 0.4973 0.9981
La1 0.9984 0.9973 0.4981
Ni1 0.4987 0.9973 0.1680
Ni2 0.4986 0.9973 0.8282
Ni3 0.4986 0.4973 0.6625
Ni4 0.4987 0.4973 0.3339



Record 2
Entry from the Alexandria database: a relaxed structure of Er4Au3 (GGA-PBE).

E_tot = -4.722 eV/atom
Space group = R-3m

Cell: 4.9843 4.9843 8.7261 Å, 73.41 73.41 60.00°
Atoms (fractional coordinates):
Er1 0.6245 0.6245 0.1264
Er2 0.8752 0.8752 0.3745
Er3 0.1248 0.1248 0.6255
Er4 0.3755 0.3755 0.8736
Au1 0.2439 0.2439 0.2683
Au2 0.7561 0.7561 0.7317
Au3 0.0000 0.0000 0.0000



Record 3
Entry from the Alexandria database: a relaxed structure of Ac2PuSb4Pd3 (GGA-PBE).

E_tot = -6.230 eV/atom
E_form (uncorrected) = -741 kJ/mol of formula units
Space group = P-4m2

Cell: 4.7425 4.7425 11.7527 Å, 90.00 90.00 90.00°
Atoms (fractional coordinates):
Ac1 0.5000 0.0000 0.2306
Ac2 0.0000 0.5000 0.7694
Pu1 0.5000 0.5000 0.5000
Sb1 0.5000 0.5000 0.0000
Sb2 0.0000 0.0000 0.0000
Sb3 0.5000 0.0000 0.6572
Sb4 0.0000 0.5000 0.3428
Pd1 0.0000 0.0000 0.5000
Pd2 0.5000 0.0000 0.8855
Pd3 0.0000 0.5000 0.1145